[1]
A plane-wave DFT calculation with PBE was carried out for a relaxed Pm4Al2O crystal.

Computed properties:
**Formation energy from raw total energies**: -0.947 eV/atom
**V**: 183.9 Å³/cell
**Energy**: -5.4389 eV/atom
**Total moment**: 0.00 μB per cell
**Symmetry**: I4/mmm (139)

abc: 4.7521 4.7521 8.8103
angles: 105.65 105.65 90.00
With the nearest neighbours (Å) after each atom.
Sites, in units of the cell vectors:
1 Al 0.6351 0.6351 0.2703  9 Pm 3.12-3.42
2 Al 0.3649 0.3649 0.7297  9 Pm 3.12-3.42
3 O 0.0000 0.0000 0.0000  4 Pm 2.38
4 Pm 0.8270 0.8270 0.6539  1 O 2.82, 1 Al 3.12
5 Pm 0.1730 0.1730 0.3461  1 O 2.82, 1 Al 3.12
6 Pm 0.0000 0.5000 0.0000  2 O 2.38
7 Pm 0.5000 0.0000 0.0000  2 O 2.38

---

[2]
A plane-wave DFT calculation with PBE was carried out for a relaxed Cs2HfCoTe crystal.

Computed properties:
**Formation energy from raw total energies**: 0.964 eV/atom
**V**: 311.8 Å³/cell
**Energy**: -3.4173 eV/atom
**Total moment**: 3.31 μB per cell
**Symmetry**: P4/mmm (123)

abc: 7.5674 5.4448 7.5674
angles: 90.00 90.00 90.00
With the nearest neighbours (Å) after each atom.
Sites, in units of the cell vectors:
1 Cs 0.0000 0.0000 0.5000  2 Hf 3.78
2 Cs 0.5000 0.0000 0.0000  2 Hf 3.78
3 Co 0.5000 0.5000 0.5000  8 Cs 4.66
4 Te 0.0000 0.5000 0.0000  2 Hf 2.72
5 Hf 0.0000 0.0000 0.0000  2 Te 2.72

---

[3]
A plane-wave DFT calculation with PBE was carried out for a relaxed Sm6Os2Ru crystal.

Computed properties:
**V**: 487.0 Å³/cell
**Energy**: -6.7796 eV/atom
**Total moment**: 0.00 μB per cell
**Symmetry**: P2_1/c (14)

abc: 6.7833 7.3511 9.7728
angles: 90.00 87.87 90.00
With the nearest neighbours (Å) after each atom.
Sites, in units of the cell vectors:
1 Sm 0.8363 0.9700 0.2395  2 Os 2.79-2.84, 1 Ru 2.82
2 Sm 0.8222 0.6705 0.5753  1 Ru 2.79, 3 Os 2.86-3.11
3 Sm 0.8456 0.6611 0.9257  1 Ru 2.70, 1 Os 2.92
4 Sm 0.6544 0.1611 0.5743  1 Ru 2.70, 1 Os 2.92
5 Sm 0.6778 0.1705 0.9247  1 Ru 2.79, 3 Os 2.86-3.11
6 Sm 0.6637 0.4700 0.2605  2 Os 2.79-2.84, 1 Ru 2.82
7 Sm 0.1637 0.0300 0.7605  2 Os 2.79-2.84, 1 Ru 2.82
8 Sm 0.1778 0.3295 0.4247  1 Ru 2.79, 3 Os 2.86-3.11
9 Sm 0.1544 0.3389 0.0743  1 Ru 2.70, 1 Os 2.92
10 Sm 0.3456 0.8389 0.4257  1 Ru 2.70, 1 Os 2.92
11 Sm 0.3222 0.8295 0.0753  1 Ru 2.79, 3 Os 2.86-3.11
12 Sm 0.3363 0.5300 0.7395  2 Os 2.79-2.84, 1 Ru 2.82
13 Os 0.9664 0.3555 0.7122  6 Sm 2.79-3.11
14 Os 0.5336 0.8555 0.7878  6 Sm 2.79-3.11
15 Os 0.4664 0.1445 0.2122  6 Sm 2.79-3.11
16 Os 0.0336 0.6445 0.2878  6 Sm 2.79-3.11
17 Ru 0.5000 0.5000 0.0000  6 Sm 2.70-2.82
18 Ru 0.0000 0.0000 0.5000  6 Sm 2.70-2.82

---

[4]
A plane-wave DFT calculation with PBE was carried out for a relaxed TlCu2P2 crystal.

Computed properties:
**V**: 85.4 Å³/cell
**Excess energy over the best structure of this formula in the dataset**: 188 meV per atom
**Energy**: -4.0415 eV/atom
**Total moment**: 0.00 μB per cell
**Symmetry**: I4/mmm (139)

abc: 3.8871 3.8871 6.2840
angles: 71.98 71.98 90.00
With the nearest neighbours (Å) after each atom.
Sites, in units of the cell vectors:
1 P 0.7500 0.2500 0.5000  4 Cu 2.43
2 P 0.2500 0.7500 0.5000  4 Cu 2.43
3 Tl 0.0000 0.0000 0.0000  8 Cu 3.07, 8 P 3.43
4 Cu 0.3791 0.3791 0.2417  4 P 2.43
5 Cu 0.6209 0.6209 0.7583  4 P 2.43

---

[5]
A plane-wave DFT calculation with PBE was carried out for a relaxed NaSrGe4 crystal.

Computed properties:
**V**: 154.5 Å³/cell
**Excess energy over the best structure of this formula in the dataset**: 0 meV per atom
**Energy**: -3.8110 eV/atom
**Total moment**: 0.00 μB per cell
**Symmetry**: Pmmm (47)

abc: 4.5968 4.0944 8.2092
angles: 90.00 89.99 90.00
With the nearest neighbours (Å) after each atom.
Sites, in units of the cell vectors:
1 Na 0.9984 0.9973 0.4982  12 Ge 3.33-3.58
2 Sr 0.9985 0.4973 0.9982  12 Ge 3.36-3.65
3 Ge 0.4986 0.9973 0.1632  3 Ge 2.52-2.71
4 Ge 0.4988 0.9973 0.8331  3 Ge 2.52-2.71
5 Ge 0.4985 0.4973 0.6535  3 Ge 2.52-2.55
6 Ge 0.4986 0.4973 0.3428  3 Ge 2.52-2.55

---

[6]
A plane-wave DFT calculation with PBE was carried out for a relaxed Rb3AgSn2Cl9 crystal.

Computed properties:
**Formation energy from raw total energies**: -1.313 eV/atom
**V**: 475.9 Å³/cell
**Energy**: -3.3386 eV/atom
**Total moment**: 0.00 μB per cell
**Symmetry**: P-3m1 (164)

abc: 7.6450 7.6450 9.4027
angles: 90.00 90.00 120.00
With the nearest neighbours (Å) after each atom.
Sites, in units of the cell vectors:
1 Rb 0.3333 0.6667 0.6518  12 Cl 3.69-3.95
2 Rb 0.0000 0.0000 0.0000  12 Cl 3.82-3.86
3 Rb 0.6667 0.3333 0.3482  12 Cl 3.69-3.95
4 Ag 0.0000 0.0000 0.5000  6 Cl 2.70
5 Sn 0.3333 0.6667 0.1765  6 Cl 2.66-2.76
6 Sn 0.6667 0.3333 0.8235  6 Cl 2.66-2.76
7 Cl 0.8326 0.1674 0.6634  1 Sn 2.66, 1 Ag 2.70
8 Cl 0.8326 0.6651 0.6634  1 Sn 2.66, 1 Ag 2.70
9 Cl 0.3349 0.1674 0.6634  1 Sn 2.66, 1 Ag 2.70
10 Cl 0.6651 0.8326 0.3366  1 Sn 2.66, 1 Ag 2.70
11 Cl 0.1674 0.3349 0.3366  1 Sn 2.66, 1 Ag 2.70
12 Cl 0.1674 0.8326 0.3366  1 Sn 2.66, 1 Ag 2.70
13 Cl 0.5000 0.0000 0.0000  2 Sn 2.76
14 Cl 0.0000 0.5000 0.0000  2 Sn 2.76
15 Cl 0.5000 0.5000 0.0000  2 Sn 2.76

---

[7]
A plane-wave DFT calculation with PBE was carried out for a relaxed La5CeSn6 crystal.

Computed properties:
**V**: 362.8 Å³/cell
**Energy**: -5.2459 eV/atom
**Total moment**: 2.43 μB per cell
**Symmetry**: C2/m (12)

abc: 5.9624 9.0661 9.9848
angles: 63.00 72.66 48.96
With the nearest neighbours (Å) after each atom.
Sites, in units of the cell vectors:
1 La 0.5000 0.1760 0.6481  8 Sn 3.37-3.48, 2 La 3.43
2 La 0.0000 0.3408 0.3183  8 Sn 3.41-3.51, 2 La 3.43
3 La 0.5000 0.5000 0.0000  2 Ce 3.42, 8 Sn 3.46-3.54
4 La 0.0000 0.6592 0.6817  8 Sn 3.41-3.51, 2 La 3.43
5 La 0.5000 0.8240 0.3519  8 Sn 3.37-3.48, 2 La 3.43
6 Ce 0.0000 0.0000 0.0000  8 Sn 3.34-3.35, 2 La 3.42
7 Sn 0.7680 0.0673 0.3297  1 Sn 3.18, 1 Ce 3.34, 7 La 3.37-3.51
8 Sn 0.2320 0.6029 0.3297  1 Sn 3.18, 1 Ce 3.34, 7 La 3.37-3.51
9 Sn 0.2780 0.2221 0.0000  1 Sn 3.04, 2 Ce 3.34-3.35
10 Sn 0.7220 0.7779 0.0000  1 Sn 3.04, 2 Ce 3.34-3.35
11 Sn 0.7680 0.3971 0.6703  1 Sn 3.18, 1 Ce 3.34, 7 La 3.37-3.51
12 Sn 0.2320 0.9327 0.6703  1 Sn 3.18, 1 Ce 3.34, 7 La 3.37-3.51

---

[8]
A plane-wave DFT calculation with PBE was carried out for a relaxed Mg6Hg5 crystal.

Computed properties:
**V**: 245.9 Å³/cell
**Energy**: -1.1962 eV/atom
**Total moment**: 0.00 μB per cell
**Symmetry**: Immm (71)

abc: 4.8125 6.9196 8.5020
angles: 114.01 106.43 90.02
With the nearest neighbours (Å) after each atom.
Sites, in units of the cell vectors:
1 Mg 0.5008 0.7559 0.0000  6 Hg 2.89-3.08
2 Mg 0.4992 0.2441 0.0000  6 Hg 2.89-3.08
3 Mg 0.8389 0.0842 0.6777  7 Hg 2.94-3.19
4 Mg 0.8389 0.5935 0.6777  7 Hg 2.94-3.19
5 Mg 0.1611 0.9158 0.3223  7 Hg 2.94-3.19
6 Mg 0.1611 0.4065 0.3223  7 Hg 2.94-3.19
7 Hg 0.0000 0.5000 0.0000  8 Mg 2.96-2.99
8 Hg 0.6709 0.6709 0.3418  8 Mg 2.99-3.08
9 Hg 0.3291 0.3291 0.6582  8 Mg 2.99-3.08
10 Hg 0.3411 0.8411 0.6823  8 Mg 2.89-3.19
11 Hg 0.6589 0.1589 0.3177  8 Mg 2.89-3.19

---

[9]
A plane-wave DFT calculation with PBE was carried out for a relaxed Ge2Pb2O crystal.

Computed properties:
**Formation energy from raw total energies**: -0.124 eV/atom
**V**: 125.5 Å³/cell
**Excess energy over the best structure of this formula in the dataset**: 0 meV per atom
**Energy**: -4.4464 eV/atom
**Total moment**: 0.00 μB per cell
**Symmetry**: I4/mmm (139)

abc: 6.0255 6.0255 5.4869
angles: 56.70 56.70 90.00
With the nearest neighbours (Å) after each atom.
Sites, in units of the cell vectors:
1 Pb 0.7500 0.2500 0.5000  4 Ge 3.01
2 Pb 0.2500 0.7500 0.5000  4 Ge 3.01
3 Ge 0.2645 0.2645 0.4710  1 O 1.83
4 Ge 0.7355 0.7355 0.5290  1 O 1.83
5 O 0.0000 0.0000 0.0000  2 Ge 1.83

---

[10]
A plane-wave DFT calculation with PBE was carried out for a relaxed Al2HIr crystal.

Computed properties:
**V**: 106.9 Å³/cell
**Excess energy over the best structure of this formula in the dataset**: 126 meV per atom
**Energy**: -4.8217 eV/atom
**Total moment**: 0.00 μB per cell
**Symmetry**: I-42d (122)

abc: 4.7323 4.7323 5.8294
angles: 66.05 66.05 90.00
With the nearest neighbours (Å) after each atom.
Sites, in units of the cell vectors:
1 H 0.5000 0.5000 0.0000  4 Al 1.78
2 H 0.2500 0.7500 0.5000  4 Al 1.78
3 Ir 0.0000 0.0000 0.0000  4 Al 2.44
4 Ir 0.7500 0.2500 0.5000  4 Al 2.44
5 Al 0.5014 0.1250 0.2500  2 H 1.78
6 Al 0.2486 0.6250 0.2500  2 H 1.78
7 Al 0.3750 0.4986 0.7500  2 H 1.78
8 Al 0.8750 0.7514 0.7500  2 H 1.78

---

[11]
A plane-wave DFT calculation with PBE was carried out for a relaxed LiTl2Cl crystal.

Computed properties:
**Formation energy from raw total energies**: -0.425 eV/atom
**V**: 108.1 Å³/cell
**Excess energy over the best structure of this formula in the dataset**: 317 meV per atom
**Energy**: -2.5481 eV/atom
**Total moment**: 0.00 μB per cell
**Symmetry**: I-4m2 (119)

abc: 6.2157 6.2157 6.2157
angles: 137.57 137.57 61.57
With the nearest neighbours (Å) after each atom.
Sites, in units of the cell vectors:
1 Cl 0.5000 0.5000 0.0000  8 Tl 3.18-3.49, 4 Li 3.49
2 Li 0.7500 0.2500 0.5000  8 Tl 3.18-3.49, 4 Cl 3.49
3 Tl 0.0000 0.0000 0.0000  4 Cl 3.18, 4 Tl 3.49, 4 Li 3.49
4 Tl 0.2500 0.7500 0.5000  4 Li 3.18, 4 Tl 3.49, 4 Cl 3.49

---

[12]
A plane-wave DFT calculation with PBE was carried out for a relaxed RbCo3Tc crystal.

Computed properties:
**V**: 89.2 Å³/cell
**Excess energy over the best structure of this formula in the dataset**: 1440 meV per atom
**Energy**: -3.7251 eV/atom
**Total moment**: 6.36 μB per cell
**Symmetry**: Pm-3m (221)

abc: 4.4676 4.4676 4.4676
angles: 90.00 90.00 90.00
With the nearest neighbours (Å) after each atom.
Sites, in units of the cell vectors:
1 Co 0.0000 0.5000 0.0000  2 Rb 2.23
2 Co 0.0000 0.0000 0.5000  2 Rb 2.23
3 Co 0.5000 0.0000 0.0000  2 Rb 2.23
4 Tc 0.5000 0.5000 0.5000  12 Co 3.16
5 Rb 0.0000 0.0000 0.0000  6 Co 2.23

---

Question: Which of these has the lowest V?
Answer: TlCu2P2

---

Repeat the fourth record exactly.
A plane-wave DFT calculation with PBE was carried out for a relaxed TlCu2P2 crystal.

Computed properties:
**V**: 85.4 Å³/cell
**Excess energy over the best structure of this formula in the dataset**: 188 meV per atom
**Energy**: -4.0415 eV/atom
**Total moment**: 0.00 μB per cell
**Symmetry**: I4/mmm (139)

abc: 3.8871 3.8871 6.2840
angles: 71.98 71.98 90.00
With the nearest neighbours (Å) after each atom.
Sites, in units of the cell vectors:
1 P 0.7500 0.2500 0.5000  4 Cu 2.43
2 P 0.2500 0.7500 0.5000  4 Cu 2.43
3 Tl 0.0000 0.0000 0.0000  8 Cu 3.07, 8 P 3.43
4 Cu 0.3791 0.3791 0.2417  4 P 2.43
5 Cu 0.6209 0.6209 0.7583  4 P 2.43